Version w
ScMnS3 | GGA-PBE | relaxed

Properties
As for the crystal system: cubic. For the density of states at the Fermi level, the calculation gives 3.1 states/eV/cell. The calculated volume comes out at 115.0 Å³/cell.

Cell and atoms, written as CIF:
```
data_ScMnS3
_space_group_name_H-M_alt 'P m -3 m'
_space_group_IT_number 221
_space_group_name_Hall '-P 4 2 3'
_cell_length_a 4.862
_cell_length_b 4.862
_cell_length_c 4.862
_cell_angle_alpha 90.00
_cell_angle_beta 90.00
_cell_angle_gamma 90.00
loop_
_atom_site_label
_atom_site_type_symbol
_atom_site_fract_x
_atom_site_fract_y
_atom_site_fract_z
Sc1 Sc 0.000 0.000 0.000
Mn1 Mn 0.500 0.500 0.500
S1 S 0.000 0.000 0.500
```

***

Version x
ScMnS3 | GGA-PBE | relaxed

Properties
As for the crystal system: trigonal. For the density of states at the Fermi level, the calculation gives 10.9 states/eV/cell. The calculated volume comes out at 581.5 Å³/cell.

Cell and atoms, written as CIF:
```
data_ScMnS3
_space_group_name_H-M_alt 'R -3'
_space_group_IT_number 148
_space_group_name_Hall '-R 3'
_cell_length_a 6.2771
_cell_length_b 6.2771
_cell_length_c 17.0378
_cell_angle_alpha 90.00
_cell_angle_beta 90.00
_cell_angle_gamma 120.00
loop_
_atom_site_label
_atom_site_type_symbol
_atom_site_fract_x
_atom_site_fract_y
_atom_site_fract_z
Sc1 Sc 0.0000 0.0000 0.1534
Mn1 Mn 0.0000 0.0000 0.3423
S1 S 0.0149 0.6510 0.9201
```

***

Relative energy of each structure, in eV/atom: version w 0.845; version x 0.000.